1.
Computed, not measured: BaBiRu3 after structural relaxation at the PBE-GGA level of DFT.

The calculation puts the density of states at the Fermi level at 7.22 states/eV per cell. For the relative energy among the computed polymorphs, the calculation gives 0.000 eV/atom. The value obtained for the formation energy from the elements is 1.262 eV per atom.

The space group is Pm-3m (No. 221) and the conventional cell measures 5.108, 5.108 and 5.108 Å, with angles of 90.00, 90.00 and 90.00 degrees. The inequivalent atoms are Ba at (0.000, 0.000, 0.000), Bi at (0.500, 0.500, 0.500) and Ru at (0.000, 0.500, 0.500).

2.
Computed, not measured: BaBi3Ru after structural relaxation at the PBE-GGA level of DFT.

The calculation puts the density of states at the Fermi level at 5.46 states/eV per cell. For the relative energy among the computed polymorphs, the calculation gives 0.000 eV/atom. The value obtained for the formation energy from the elements is -0.004 eV per atom.

The space group is Pm-3m (No. 221) and the conventional cell measures 5.462, 5.462 and 5.462 Å, with angles of 90.00, 90.00 and 90.00 degrees. The inequivalent atoms are Ba at (0.000, 0.000, 0.000), Bi at (0.000, 0.500, 0.500) and Ru at (0.500, 0.500, 0.500).

3.
Computed, not measured: BaBi3Ru after structural relaxation at the PBE-GGA level of DFT.

The calculation puts the density of states at the Fermi level at 17.73 states/eV per cell. For the relative energy among the computed polymorphs, the calculation gives 1.798 eV/atom. The value obtained for the formation energy from the elements is 1.794 eV per atom.

The space group is Pm-3m (No. 221) and the conventional cell measures 6.246, 6.246 and 6.246 Å, with angles of 90.00, 90.00 and 90.00 degrees. The inequivalent atoms are Ba at (0.000, 0.000, 0.000), Bi at (0.000, 0.000, 0.500) and Ru at (0.500, 0.500, 0.500).

4.
Computed, not measured: Ba3BiRu after structural relaxation at the PBE-GGA level of DFT.

The calculation puts the density of states at the Fermi level at 1.61 states/eV per cell. For the relative energy among the computed polymorphs, the calculation gives 0.000 eV/atom. The value obtained for the formation energy from the elements is -0.177 eV per atom.

The space group is Pm-3m (No. 221) and the conventional cell measures 5.798, 5.798 and 5.798 Å, with angles of 90.00, 90.00 and 90.00 degrees. The inequivalent atoms are Ba at (0.000, 0.000, 0.500), Bi at (0.500, 0.500, 0.500) and Ru at (0.000, 0.000, 0.000).

5.
Computed, not measured: BaBi2Ru2 after structural relaxation at the PBE-GGA level of DFT.

The calculation puts the density of states at the Fermi level at 12.89 states/eV per cell. The value obtained for the formation energy from the elements is 0.340 eV per atom.

The space group is P4/mbm (No. 127) and the conventional cell measures 8.589, 8.589 and 3.324 Å, with angles of 90.00, 90.00 and 90.00 degrees. The inequivalent atoms are Ba at (0.000, 0.000, 0.000), Bi at (0.140, 0.360, 0.000) and Ru at (0.127, 0.627, 0.500).

6.
Computed, not measured: BaBiRu2 after structural relaxation at the PBE-GGA level of DFT.

The calculation puts the density of states at the Fermi level at 16.39 states/eV per cell. The value obtained for the formation energy from the elements is 0.849 eV per atom.

The space group is I-42d (No. 122) and the conventional cell measures 7.829, 7.829 and 6.761 Å, with angles of 90.00, 90.00 and 90.00 degrees. The inequivalent atoms are Ba at (0.000, 0.000, 0.000), Bi at (0.000, 0.000, 0.500) and Ru at (0.193, 0.750, 0.625).

7.
Computed, not measured: BaSnBiRu2 after structural relaxation at the PBE-GGA level of DFT.

The calculation puts the density of states at the Fermi level at 8.25 states/eV per cell. The value obtained for the formation energy from the elements is 0.953 eV per atom.

The space group is P4/mmm (No. 123) and the conventional cell measures 5.138, 5.138 and 5.803 Å, with angles of 90.00, 90.00 and 90.00 degrees. The inequivalent atoms are Ba at (0.000, 0.000, 0.000), Sn at (0.500, 0.500, 0.000), Bi at (0.500, 0.500, 0.500) and Ru at (0.000, 0.500, 0.500).

8.
Computed, not measured: BaTaBi2Ru after structural relaxation at the PBE-GGA level of DFT.

The calculation puts the density of states at the Fermi level at 4.07 states/eV per cell. The value obtained for the formation energy from the elements is 1.035 eV per atom.

The space group is P4/mmm (No. 123) and the conventional cell measures 5.319, 5.319 and 5.515 Å, with angles of 90.00, 90.00 and 90.00 degrees. The inequivalent atoms are Ba at (0.000, 0.000, 0.000), Ta at (0.500, 0.500, 0.000), Bi at (0.000, 0.500, 0.500) and Ru at (0.000, 0.000, 0.500).

9.
Computed, not measured: BaTiBi2Ru after structural relaxation at the PBE-GGA level of DFT.

The calculation puts the density of states at the Fermi level at 8.41 states/eV per cell. The value obtained for the formation energy from the elements is 0.118 eV per atom.

The space group is P4/mmm (No. 123) and the conventional cell measures 5.697, 5.697 and 4.603 Å, with angles of 90.00, 90.00 and 90.00 degrees. The inequivalent atoms are Ba at (0.000, 0.000, 0.000), Ti at (0.500, 0.500, 0.000), Bi at (0.000, 0.500, 0.500) and Ru at (0.500, 0.500, 0.500).

10.
Computed, not measured: Ba2BiS after structural relaxation at the PBE-GGA level of DFT.

The calculation puts the density of states at the Fermi level at 1.09 states/eV per cell. For the formation energy (no corrections), the calculation gives -1.313 eV/atom. For the relative energy among the computed polymorphs, the calculation gives 0.033 eV/atom.

The space group is P4/mmm (No. 123) and the conventional cell measures 3.943, 3.943 and 8.742 Å, with angles of 90.00, 90.00 and 90.00 degrees. The inequivalent atoms are Ba at (0.000, 0.000, 0.215), Bi at (0.500, 0.500, 0.500) and S at (0.500, 0.500, 0.000).

11.
Computed, not measured: Ba5BiS8 after structural relaxation at the PBE-GGA level of DFT.

The calculation puts the density of states at the Fermi level at 10.38 states/eV per cell. For the formation energy (no corrections), the calculation gives -1.381 eV/atom.

The space group is I-4 (No. 82) and the conventional cell measures 9.363, 9.363 and 9.286 Å, with angles of 90.00, 90.00 and 90.00 degrees. The inequivalent atoms are Ba at (0.000, 0.000, 0.000), Ba at (0.127, 0.771, 0.630), Bi at (0.000, 0.500, 0.250), S at (0.051, 0.616, 0.958) and S at (0.085, 0.810, 0.285).

12.
Computed, not measured: Ba3BiS after structural relaxation at the PBE-GGA level of DFT.

The calculation puts the density of states at the Fermi level at 3.86 states/eV per cell. For the formation energy (no corrections), the calculation gives -1.118 eV/atom. For the relative energy among the computed polymorphs, the calculation gives 0.000 eV/atom.

The space group is Pm-3m (No. 221) and the conventional cell measures 6.021, 6.021 and 6.021 Å, with angles of 90.00, 90.00 and 90.00 degrees. The inequivalent atoms are Ba at (0.000, 0.000, 0.500), Bi at (0.500, 0.500, 0.500) and S at (0.000, 0.000, 0.000).